No. 1
# DyHoS2F2 PBE relaxed
# space group	P4mm (99)
# total DFT energy (no corrections)	-39.18	eV per cell
# crystal system	tetragonal
data_DyHoS2F2
_chemical_formula_sum 'Dy1 Ho1 S2 F2'
_space_group_name_H-M_alt 'P 1'
_space_group_IT_number 1
_cell_length_a 3.739
_cell_length_b 3.739
_cell_length_c 6.774
_cell_angle_alpha 90.00
_cell_angle_beta 90.00
_cell_angle_gamma 90.00
loop_
_space_group_symop_operation_xyz
'x,y,z'
loop_
_atom_site_label
_atom_site_type_symbol
_atom_site_fract_x
_atom_site_fract_y
_atom_site_fract_z
Dy1 Dy 0.000 0.000 0.000
Ho1 Ho 0.500 0.500 0.543
S1 S 0.000 0.000 0.415
S2 S 0.500 0.500 0.129
F1 F 0.000 0.500 0.771
F2 F 0.500 0.000 0.771

---

No. 2
# DyHoSbF2 PBE relaxed
# space group	P3m1 (156)
# total DFT energy (no corrections)	-29.22	eV per cell
# crystal system	trigonal
data_DyHoSbF2
_chemical_formula_sum 'Dy1 Ho1 Sb1 F2'
_space_group_name_H-M_alt 'P 1'
_space_group_IT_number 1
_cell_length_a 4.049
_cell_length_b 4.049
_cell_length_c 6.916
_cell_angle_alpha 90.00
_cell_angle_beta 90.00
_cell_angle_gamma 120.00
loop_
_space_group_symop_operation_xyz
'x,y,z'
loop_
_atom_site_label
_atom_site_type_symbol
_atom_site_fract_x
_atom_site_fract_y
_atom_site_fract_z
Dy1 Dy 0.000 0.000 0.000
Ho1 Ho 0.333 0.667 0.538
Sb1 Sb 0.667 0.333 0.270
F1 F 0.000 0.000 0.667
F2 F 0.333 0.667 0.868

---

No. 3
# Dy2Ho2SiF5 PBE relaxed
# space group	C2/m (12)
# total DFT energy (no corrections)	-58.88	eV per cell
# crystal system	monoclinic
data_Dy2Ho2SiF5
_chemical_formula_sum 'Dy2 Ho2 Si1 F5'
_space_group_name_H-M_alt 'P 1'
_space_group_IT_number 1
_cell_length_a 7.346
_cell_length_b 7.346
_cell_length_c 7.007
_cell_angle_alpha 117.70
_cell_angle_beta 117.70
_cell_angle_gamma 30.35
loop_
_space_group_symop_operation_xyz
'x,y,z'
loop_
_atom_site_label
_atom_site_type_symbol
_atom_site_fract_x
_atom_site_fract_y
_atom_site_fract_z
Dy1 Dy 0.222 0.222 0.223
Dy2 Dy 0.778 0.778 0.777
Ho1 Ho 0.499 0.499 0.275
Ho2 Ho 0.501 0.501 0.725
Si1 Si 0.000 0.000 0.000
F1 F 0.000 0.000 0.500
F2 F 0.301 0.301 0.610
F3 F 0.301 0.301 0.992
F4 F 0.699 0.699 0.008
F5 F 0.699 0.699 0.390

---

No. 4
# K2DyF5 PBE relaxed
# space group	Pnma (62)
# total DFT energy (no corrections)	-175.72	eV per cell
# crystal system	orthorhombic
data_K2DyF5
_chemical_formula_sum 'K8 Dy4 F20'
_space_group_name_H-M_alt 'P 1'
_space_group_IT_number 1
_cell_length_a 10.346
_cell_length_b 7.178
_cell_length_c 6.361
_cell_angle_alpha 90.00
_cell_angle_beta 90.00
_cell_angle_gamma 90.00
loop_
_space_group_symop_operation_xyz
'x,y,z'
loop_
_atom_site_label
_atom_site_type_symbol
_atom_site_fract_x
_atom_site_fract_y
_atom_site_fract_z
K1 K 0.170 0.004 0.040
K2 K 0.170 0.496 0.040
K3 K 0.330 0.504 0.540
K4 K 0.330 0.996 0.540
K5 K 0.670 0.004 0.460
K6 K 0.670 0.496 0.460
K7 K 0.830 0.504 0.960
K8 K 0.830 0.996 0.960
Dy1 Dy 0.005 0.250 0.566
Dy2 Dy 0.495 0.750 0.066
Dy3 Dy 0.505 0.250 0.934
Dy4 Dy 0.995 0.750 0.434
F1 F 0.010 0.250 0.909
F2 F 0.078 0.537 0.654
F3 F 0.078 0.963 0.654
F4 F 0.174 0.250 0.363
F5 F 0.200 0.750 0.334
F6 F 0.300 0.250 0.834
F7 F 0.326 0.750 0.863
F8 F 0.422 0.037 0.154
F9 F 0.422 0.463 0.154
F10 F 0.490 0.750 0.409
F11 F 0.510 0.250 0.591
F12 F 0.578 0.537 0.846
F13 F 0.578 0.963 0.846
F14 F 0.674 0.250 0.137
F15 F 0.700 0.750 0.166
F16 F 0.800 0.250 0.666
F17 F 0.826 0.750 0.637
F18 F 0.922 0.037 0.346
F19 F 0.922 0.463 0.346
F20 F 0.990 0.750 0.091

---

No. 5
# K3DyF6 PBE relaxed
# space group	P2_1/c (14)
# total DFT energy (no corrections)	-104.75	eV per cell
# crystal system	monoclinic
data_K3DyF6
_chemical_formula_sum 'K6 Dy2 F12'
_space_group_name_H-M_alt 'P 1'
_space_group_IT_number 1
_cell_length_a 6.161
_cell_length_b 6.451
_cell_length_c 10.488
_cell_angle_alpha 90.00
_cell_angle_beta 124.02
_cell_angle_gamma 90.00
loop_
_space_group_symop_operation_xyz
'x,y,z'
loop_
_atom_site_label
_atom_site_type_symbol
_atom_site_fract_x
_atom_site_fract_y
_atom_site_fract_z
K1 K 0.000 0.000 0.000
K2 K 0.000 0.500 0.500
K3 K 0.222 0.061 0.744
K4 K 0.222 0.439 0.244
K5 K 0.778 0.561 0.756
K6 K 0.778 0.939 0.256
Dy1 Dy 0.500 0.000 0.500
Dy2 Dy 0.500 0.500 0.000
F1 F 0.162 0.179 0.446
F2 F 0.162 0.321 0.946
F3 F 0.252 0.726 0.423
F4 F 0.252 0.774 0.923
F5 F 0.400 0.065 0.270
F6 F 0.400 0.435 0.770
F7 F 0.600 0.565 0.230
F8 F 0.600 0.935 0.730
F9 F 0.748 0.226 0.077
F10 F 0.748 0.274 0.577
F11 F 0.838 0.679 0.054
F12 F 0.838 0.821 0.554

---

No. 6
# KDySO4F PBE relaxed
# space group	P-1 (2)
# total DFT energy (no corrections)	-97.35	eV per cell
# crystal system	triclinic
data_KDySO4F
_chemical_formula_sum 'K2 Dy2 S2 O8 F2'
_space_group_name_H-M_alt 'P 1'
_space_group_IT_number 1
_cell_length_a 6.194
_cell_length_b 6.758
_cell_length_c 6.782
_cell_angle_alpha 105.55
_cell_angle_beta 106.16
_cell_angle_gamma 109.40
loop_
_space_group_symop_operation_xyz
'x,y,z'
loop_
_atom_site_label
_atom_site_type_symbol
_atom_site_fract_x
_atom_site_fract_y
_atom_site_fract_z
K1 K 0.189 0.340 0.133
K2 K 0.811 0.660 0.867
Dy1 Dy 0.373 0.944 0.688
Dy2 Dy 0.627 0.056 0.312
S1 S 0.173 0.351 0.650
S2 S 0.827 0.649 0.350
O1 O 0.039 0.662 0.283
O2 O 0.059 0.183 0.413
O3 O 0.320 0.582 0.667
O4 O 0.347 0.290 0.796
O5 O 0.653 0.710 0.204
O6 O 0.680 0.418 0.333
O7 O 0.941 0.817 0.587
O8 O 0.961 0.338 0.717
F1 F 0.287 0.956 0.027
F2 F 0.713 0.044 0.973

---

No. 7
# K2RbDy2F7 PBE relaxed
# space group	I4/mmm (139)
# total DFT energy (no corrections)	-61.46	eV per cell
# crystal system	tetragonal
data_K2RbDy2F7
_chemical_formula_sum 'K2 Rb1 Dy2 F7'
_space_group_name_H-M_alt 'P 1'
_space_group_IT_number 1
_cell_length_a 12.113
_cell_length_b 12.113
_cell_length_c 12.113
_cell_angle_alpha 159.56
_cell_angle_beta 159.56
_cell_angle_gamma 29.06
loop_
_space_group_symop_operation_xyz
'x,y,z'
loop_
_atom_site_label
_atom_site_type_symbol
_atom_site_fract_x
_atom_site_fract_y
_atom_site_fract_z
K1 K 0.204 0.204 0.000
K2 K 0.796 0.796 0.000
Rb1 Rb 0.000 0.000 0.000
Dy1 Dy 0.402 0.402 0.000
Dy2 Dy 0.598 0.598 0.000
F1 F 0.076 0.576 0.500
F2 F 0.310 0.310 0.000
F3 F 0.424 0.924 0.500
F4 F 0.500 0.500 0.000
F5 F 0.576 0.076 0.500
F6 F 0.690 0.690 0.000
F7 F 0.924 0.424 0.500

---

No. 8
# LiDySO4F PBE relaxed
# space group	P-1 (2)
# total DFT energy (no corrections)	-99.23	eV per cell
# crystal system	triclinic
data_LiDySO4F
_chemical_formula_sum 'Li2 Dy2 S2 O8 F2'
_space_group_name_H-M_alt 'P 1'
_space_group_IT_number 1
_cell_length_a 5.117
_cell_length_b 6.252
_cell_length_c 6.834
_cell_angle_alpha 114.60
_cell_angle_beta 99.50
_cell_angle_gamma 95.28
loop_
_space_group_symop_operation_xyz
'x,y,z'
loop_
_atom_site_label
_atom_site_type_symbol
_atom_site_fract_x
_atom_site_fract_y
_atom_site_fract_z
Li1 Li 0.020 0.180 0.288
Li2 Li 0.980 0.820 0.712
Dy1 Dy 0.000 0.500 0.000
Dy2 Dy 0.500 0.000 0.500
S1 S 0.430 0.575 0.683
S2 S 0.570 0.425 0.317
O1 O 0.262 0.359 0.199
O2 O 0.280 0.308 0.603
O3 O 0.302 0.763 0.614
O4 O 0.327 0.671 0.904
O5 O 0.673 0.329 0.096
O6 O 0.698 0.237 0.386
O7 O 0.720 0.692 0.397
O8 O 0.738 0.641 0.801
F1 F 0.117 0.881 0.248
F2 F 0.883 0.119 0.752

---

No. 9
# DyNF2 PBE relaxed
# space group	Cmcm (63)
# total DFT energy (no corrections)	-47.72	eV per cell
# crystal system	orthorhombic
data_DyNF2
_chemical_formula_sum 'Dy2 N2 F4'
_space_group_name_H-M_alt 'P 1'
_space_group_IT_number 1
_cell_length_a 4.677
_cell_length_b 4.677
_cell_length_c 6.218
_cell_angle_alpha 90.00
_cell_angle_beta 90.00
_cell_angle_gamma 62.78
loop_
_space_group_symop_operation_xyz
'x,y,z'
loop_
_atom_site_label
_atom_site_type_symbol
_atom_site_fract_x
_atom_site_fract_y
_atom_site_fract_z
Dy1 Dy 0.000 0.000 0.000
Dy2 Dy 0.000 0.000 0.500
N1 N 0.356 0.644 0.750
N2 N 0.644 0.356 0.250
F1 F 0.023 0.320 0.750
F2 F 0.320 0.023 0.250
F3 F 0.680 0.977 0.750
F4 F 0.977 0.680 0.250

---

No. 10
# DyOF PBE relaxed
# space group	R-3m (166)
# total DFT energy (no corrections)	-46.22	eV per cell
# crystal system	trigonal
data_DyOF
_chemical_formula_sum 'Dy2 O2 F2'
_space_group_name_H-M_alt 'P 1'
_space_group_IT_number 1
_cell_length_a 6.641
_cell_length_b 6.641
_cell_length_c 6.641
_cell_angle_alpha 33.05
_cell_angle_beta 33.05
_cell_angle_gamma 33.05
loop_
_space_group_symop_operation_xyz
'x,y,z'
loop_
_atom_site_label
_atom_site_type_symbol
_atom_site_fract_x
_atom_site_fract_y
_atom_site_fract_z
Dy1 Dy 0.241 0.241 0.241
Dy2 Dy 0.759 0.759 0.759
O1 O 0.121 0.121 0.121
O2 O 0.879 0.879 0.879
F1 F 0.370 0.370 0.370
F2 F 0.630 0.630 0.630

---

No. 11
# DyOF PBE relaxed
# space group	Fddd (70)
# total DFT energy (no corrections)	-91.78	eV per cell
# crystal system	orthorhombic
data_DyOF
_chemical_formula_sum 'Dy4 O4 F4'
_space_group_name_H-M_alt 'P 1'
_space_group_IT_number 1
_cell_length_a 6.859
_cell_length_b 6.432
_cell_length_c 5.664
_cell_angle_alpha 68.75
_cell_angle_beta 60.93
_cell_angle_gamma 50.32
loop_
_space_group_symop_operation_xyz
'x,y,z'
loop_
_atom_site_label
_atom_site_type_symbol
_atom_site_fract_x
_atom_site_fract_y
_atom_site_fract_z
Dy1 Dy 0.075 0.675 0.075
Dy2 Dy 0.325 0.925 0.325
Dy3 Dy 0.675 0.075 0.675
Dy4 Dy 0.925 0.325 0.925
O1 O 0.008 0.008 0.742
O2 O 0.258 0.258 0.992
O3 O 0.742 0.742 0.008
O4 O 0.992 0.992 0.258
F1 F 0.000 0.500 0.500
F2 F 0.500 0.000 0.500
F3 F 0.500 0.500 0.000
F4 F 0.500 0.500 0.500

---

No. 12
# Dy4O3F4 PBE relaxed
# space group	Pmm2 (25)
# total DFT energy (no corrections)	-79.71	eV per cell
# crystal system	orthorhombic
data_Dy4O3F4
_chemical_formula_sum 'Dy4 O3 F4'
_space_group_name_H-M_alt 'P 1'
_space_group_IT_number 1
_cell_length_a 3.628
_cell_length_b 7.330
_cell_length_c 5.686
_cell_angle_alpha 90.00
_cell_angle_beta 90.00
_cell_angle_gamma 90.00
loop_
_space_group_symop_operation_xyz
'x,y,z'
loop_
_atom_site_label
_atom_site_type_symbol
_atom_site_fract_x
_atom_site_fract_y
_atom_site_fract_z
Dy1 Dy 0.000 0.000 0.000
Dy2 Dy 0.000 0.500 0.003
Dy3 Dy 0.500 0.248 0.423
Dy4 Dy 0.500 0.752 0.423
O1 O 0.000 0.240 0.212
O2 O 0.000 0.760 0.212
O3 O 0.500 0.500 0.217
F1 F 0.000 0.000 0.600
F2 F 0.000 0.500 0.601
F3 F 0.500 0.267 0.823
F4 F 0.500 0.733 0.823

---

No. 13
# Sr2Dy2Sb2OF2 PBE relaxed
# space group	I4/mmm (139)
# total DFT energy (no corrections)	-51.13	eV per cell
# crystal system	tetragonal
data_Sr2Dy2Sb2OF2
_chemical_formula_sum 'Sr2 Dy2 Sb2 O1 F2'
_space_group_name_H-M_alt 'P 1'
_space_group_IT_number 1
_cell_length_a 10.350
_cell_length_b 10.350
_cell_length_c 10.350
_cell_angle_alpha 154.61
_cell_angle_beta 154.61
_cell_angle_gamma 36.22
loop_
_space_group_symop_operation_xyz
'x,y,z'
loop_
_atom_site_label
_atom_site_type_symbol
_atom_site_fract_x
_atom_site_fract_y
_atom_site_fract_z
Sr1 Sr 0.191 0.191 0.000
Sr2 Sr 0.809 0.809 0.000
Dy1 Dy 0.000 0.500 0.500
Dy2 Dy 0.500 0.000 0.500
Sb1 Sb 0.391 0.391 0.000
Sb2 Sb 0.609 0.609 0.000
O1 O 0.000 0.000 0.000
F1 F 0.250 0.750 0.500
F2 F 0.750 0.250 0.500

---

No. 14
# Dy2SeOF2 PBE relaxed
# space group	P6_3/m (176)
# total DFT energy (no corrections)	-250.75	eV per cell
# crystal system	hexagonal
data_Dy2SeOF2
_chemical_formula_sum 'Dy12 Se6 O6 F12'
_space_group_name_H-M_alt 'P 1'
_space_group_IT_number 1
_cell_length_a 13.228
_cell_length_b 13.228
_cell_length_c 3.704
_cell_angle_alpha 90.00
_cell_angle_beta 90.00
_cell_angle_gamma 120.00
loop_
_space_group_symop_operation_xyz
'x,y,z'
loop_
_atom_site_label
_atom_site_type_symbol
_atom_site_fract_x
_atom_site_fract_y
_atom_site_fract_z
Dy1 Dy 0.055 0.767 0.250
Dy2 Dy 0.118 0.516 0.250
Dy3 Dy 0.233 0.288 0.250
Dy4 Dy 0.288 0.055 0.750
Dy5 Dy 0.397 0.882 0.250
Dy6 Dy 0.484 0.603 0.250
Dy7 Dy 0.516 0.397 0.750
Dy8 Dy 0.603 0.118 0.750
Dy9 Dy 0.712 0.945 0.250
Dy10 Dy 0.767 0.712 0.750
Dy11 Dy 0.882 0.484 0.750
Dy12 Dy 0.945 0.233 0.750
Se1 Se 0.207 0.719 0.750
Se2 Se 0.281 0.488 0.750
Se3 Se 0.488 0.207 0.250
Se4 Se 0.512 0.793 0.750
Se5 Se 0.719 0.512 0.250
Se6 Se 0.793 0.281 0.250
O1 O 0.014 0.426 0.750
O2 O 0.412 0.986 0.750
O3 O 0.426 0.412 0.250
O4 O 0.574 0.588 0.750
O5 O 0.588 0.014 0.250
O6 O 0.986 0.574 0.250
F1 F 0.068 0.315 0.250
F2 F 0.099 0.895 0.750
F3 F 0.105 0.204 0.750
F4 F 0.204 0.099 0.250
F5 F 0.247 0.932 0.250
F6 F 0.315 0.247 0.750
F7 F 0.685 0.753 0.250
F8 F 0.753 0.068 0.750
F9 F 0.796 0.901 0.750
F10 F 0.895 0.796 0.250
F11 F 0.901 0.105 0.250
F12 F 0.932 0.685 0.750

---

No. 15
# DySeO3F PBE relaxed
# space group	P-1 (2)
# total DFT energy (no corrections)	-78.32	eV per cell
# crystal system	triclinic
data_DySeO3F
_chemical_formula_sum 'Dy2 Se2 O6 F2'
_space_group_name_H-M_alt 'P 1'
_space_group_IT_number 1
_cell_length_a 4.239
_cell_length_b 6.392
_cell_length_c 6.801
_cell_angle_alpha 93.57
_cell_angle_beta 96.08
_cell_angle_gamma 97.18
loop_
_space_group_symop_operation_xyz
'x,y,z'
loop_
_atom_site_label
_atom_site_type_symbol
_atom_site_fract_x
_atom_site_fract_y
_atom_site_fract_z
Dy1 Dy 0.050 0.135 0.262
Dy2 Dy 0.950 0.865 0.738
Se1 Se 0.186 0.367 0.788
Se2 Se 0.814 0.633 0.212
O1 O 0.018 0.812 0.070
O2 O 0.112 0.495 0.292
O3 O 0.177 0.172 0.594
O4 O 0.823 0.828 0.406
O5 O 0.888 0.505 0.708
O6 O 0.982 0.188 0.930
F1 F 0.448 0.815 0.772
F2 F 0.552 0.185 0.228

---

No. 16
# Dy3Se4O12F PBE relaxed
# space group	P6_3mc (186)
# total DFT energy (no corrections)	-259.57	eV per cell
# crystal system	hexagonal
data_Dy3Se4O12F
_chemical_formula_sum 'Dy6 Se8 O24 F2'
_space_group_name_H-M_alt 'P 1'
_space_group_IT_number 1
_cell_length_a 10.265
_cell_length_b 10.265
_cell_length_c 6.758
_cell_angle_alpha 90.00
_cell_angle_beta 90.00
_cell_angle_gamma 120.00
loop_
_space_group_symop_operation_xyz
'x,y,z'
loop_
_atom_site_label
_atom_site_type_symbol
_atom_site_fract_x
_atom_site_fract_y
_atom_site_fract_z
Dy1 Dy 0.075 0.538 0.000
Dy2 Dy 0.462 0.538 0.000
Dy3 Dy 0.462 0.925 0.000
Dy4 Dy 0.538 0.075 0.500
Dy5 Dy 0.538 0.462 0.500
Dy6 Dy 0.925 0.462 0.500
Se1 Se 0.151 0.302 0.768
Se2 Se 0.151 0.849 0.768
Se3 Se 0.302 0.151 0.268
Se4 Se 0.333 0.667 0.444
Se5 Se 0.667 0.333 0.944
Se6 Se 0.698 0.849 0.768
Se7 Se 0.849 0.151 0.268
Se8 Se 0.849 0.698 0.268
O1 O 0.080 0.414 0.696
O2 O 0.080 0.665 0.696
O3 O 0.161 0.580 0.326
O4 O 0.179 0.357 0.013
O5 O 0.179 0.821 0.013
O6 O 0.335 0.414 0.696
O7 O 0.335 0.920 0.696
O8 O 0.357 0.179 0.513
O9 O 0.414 0.080 0.196
O10 O 0.414 0.335 0.196
O11 O 0.420 0.580 0.326
O12 O 0.420 0.839 0.326
O13 O 0.580 0.161 0.826
O14 O 0.580 0.420 0.826
O15 O 0.586 0.665 0.696
O16 O 0.586 0.920 0.696
O17 O 0.643 0.821 0.013
O18 O 0.665 0.080 0.196
O19 O 0.665 0.586 0.196
O20 O 0.821 0.179 0.513
O21 O 0.821 0.643 0.513
O22 O 0.839 0.420 0.826
O23 O 0.920 0.335 0.196
O24 O 0.920 0.586 0.196
F1 F 0.333 0.667 0.950
F2 F 0.667 0.333 0.450